A PBEsol-optimized structure of P2Pb8O13, computed with meta-GGA SCAN.

E_tot = -1493.0 eV for the cell shown
crystal system = monoclinic
density of states at the Fermi level = 0.00 states/eV/cell

CIF file:
```
data_P2Pb8O13
_chemical_formula_sum 'P4 Pb16 O26'
_cell_length_a 7.385
_cell_length_b 7.385
_cell_length_c 14.356
_cell_angle_alpha 83.70
_cell_angle_beta 83.70
_cell_angle_gamma 87.34
_symmetry_space_group_name_H-M 'P 1'
_symmetry_Int_Tables_number 1
_symmetry_space_group_name_Hall 'P 1'
loop_
_atom_site_label
_atom_site_type_symbol
_atom_site_fract_x
_atom_site_fract_y
_atom_site_fract_z
O1 O 0.411 0.728 0.565
Pb1 Pb 0.848 0.332 0.090
O2 O 0.858 0.858 0.988
O3 O 0.776 0.026 0.135
O4 O 0.610 0.327 0.207
Pb2 Pb 0.568 0.568 0.288
P1 P 0.842 0.842 0.097
O5 O 0.932 0.266 0.437
O6 O 0.668 0.954 0.805
Pb3 Pb 0.738 0.738 0.512
O7 O 0.673 0.390 0.793
O8 O 0.272 0.589 0.435
O9 O 0.728 0.411 0.565
O10 O 0.698 0.698 0.136
O11 O 0.068 0.734 0.563
O12 O 0.026 0.776 0.135
O13 O 0.589 0.272 0.435
Pb4 Pb 0.931 0.451 0.703
O14 O 0.390 0.673 0.793
Pb5 Pb 0.432 0.432 0.712
O15 O 0.954 0.668 0.805
P2 P 0.158 0.158 0.903
P3 P 0.253 0.747 0.500
Pb6 Pb 0.332 0.848 0.090
Pb7 Pb 0.660 0.660 0.884
Pb8 Pb 0.929 0.929 0.697
P4 P 0.747 0.253 0.500
Pb9 Pb 0.340 0.340 0.116
O16 O 0.327 0.610 0.207
O17 O 0.974 0.224 0.865
O18 O 0.142 0.142 0.012
O19 O 0.302 0.302 0.864
O20 O 0.726 0.726 0.665
O21 O 0.332 0.046 0.195
O22 O 0.266 0.932 0.437
O23 O 0.734 0.068 0.563
Pb10 Pb 0.071 0.071 0.303
Pb11 Pb 0.451 0.931 0.703
Pb12 Pb 0.549 0.069 0.297
Pb13 Pb 0.069 0.549 0.297
O24 O 0.274 0.274 0.335
Pb14 Pb 0.668 0.152 0.910
O25 O 0.224 0.974 0.865
Pb15 Pb 0.262 0.262 0.488
O26 O 0.046 0.332 0.195
Pb16 Pb 0.152 0.668 0.910
```